SbPdRh2 | PBE-GGA | optimized geometry

## Properties
Uncorrected energy (eV per atom): -6.28
Formation energy from raw total energies (eV per atom): -0.27
Space group: P4/mmm (123)

Cell and atoms, written as POSCAR:
```
SbPdRh2
1.0
4.053 0.000 0.000
0.000 4.053 0.000
0.000 0.000 3.860
Sb Pd Rh
1 1 2
direct
0.000 0.000 0.000
0.500 0.500 0.000
0.000 0.500 0.500
0.500 0.000 0.500
```